A plane-wave DFT calculation with PBE+U was carried out for BeWF2 after structural relaxation.

Calculated values
- Offset from the most stable computed form: 0.0 kJ/mol of atoms
- Fermi-level density of states: 0.1706 states/eV/atom
- Crystal system: trigonal
- Symmetry: No. 166

abc: 2.6743 2.6743 30.4577
angles: 90.00 90.00 120.00
Atoms (fractional coordinates):
Be (0.0000, 0.0000, 0.0000)
Be (0.3333, 0.6667, 0.6667)
Be (0.6667, 0.3333, 0.3333)
W (0.0000, 0.0000, 0.5000)
W (0.3333, 0.6667, 0.1667)
W (0.6667, 0.3333, 0.8333)
F (0.0000, 0.0000, 0.3626)
F (0.0000, 0.0000, 0.6374)
F (0.3333, 0.6667, 0.0292)
F (0.3333, 0.6667, 0.3041)
F (0.6667, 0.3333, 0.6959)
F (0.6667, 0.3333, 0.9708)